{"formula": "La5TbIn3", "functional": "PBE", "state": "optimized geometry", "delta_e_f_kj_per_mol_atoms": -35, "n_ef_per_ev_cell": 22.4, "total_energy_ev_per_atom": -4.523, "lattice_angstrom": [[9.7014, 0.0000, 0.0000], [-4.8507, 8.4016, 0.0000], [0.0000, 0.0000, 7.0520]], "species": ["La", "La", "La", "La", "La", "La", "La", "La", "La", "La", "Tb", "Tb", "In", "In", "In", "In", "In", "In"], "frac_coords": [[0.0000, 0.3406, 0.2500], [0.0000, 0.6594, 0.7500], [0.3333, 0.6667, 0.0000], [0.3333, 0.6667, 0.5000], [0.3406, 0.0000, 0.2500], [0.3406, 0.3406, 0.7500], [0.6594, 0.0000, 0.7500], [0.6594, 0.6594, 0.2500], [0.6667, 0.3333, 0.0000], [0.6667, 0.3333, 0.5000], [0.0000, 0.0000, 0.0000], [0.0000, 0.0000, 0.5000], [0.0000, 0.3214, 0.7500], [0.0000, 0.6786, 0.2500], [0.3214, 0.0000, 0.7500], [0.3214, 0.3214, 0.2500], [0.6786, 0.0000, 0.2500], [0.6786, 0.6786, 0.7500]]}